InHg5Pb2 (PBE, relaxed); energy above the lowest structure with this stoichiometry = 0 kJ/mol of formula units
1.0
-3.885 1.163 1.887
-0.136 -4.527 1.502
10.089 6.926 5.031
In Hg Pb
1 5 2
Direct
0.000 0.000 0.000 In
0.500 0.500 0.000 Hg
0.379 0.850 0.760 Hg
0.842 0.381 0.759 Hg
0.621 0.150 0.240 Hg
0.158 0.619 0.241 Hg
0.782 0.785 0.528 Pb
0.218 0.215 0.472 Pb


InHg4Pb2 (PBE, relaxed); energy above the lowest structure with this stoichiometry = 93 kJ/mol of formula units
1.0
-4.306 3.641 0.507
-1.715 -2.680 4.683
7.431 4.154 1.677
Pb Hg In
2 4 1
Direct
0.608 0.608 0.216 Pb
0.392 0.392 0.784 Pb
0.806 0.806 0.612 Hg
0.194 0.194 0.388 Hg
0.000 0.500 0.000 Hg
0.500 0.000 0.000 Hg
0.000 0.000 0.000 In


InHg4Pb7 (PBE, relaxed); energy above the lowest structure with this stoichiometry = 100 kJ/mol of formula units
1.0
-4.705 -2.999 -1.513
2.621 -6.223 -6.857
-0.570 -6.624 3.858
In Hg Pb
1 4 7
Direct
0.000 0.000 0.000 In
0.570 0.229 0.631 Hg
0.430 0.771 0.369 Hg
0.720 0.672 0.887 Hg
0.280 0.328 0.113 Hg
0.787 0.893 0.532 Pb
0.213 0.107 0.468 Pb
0.077 0.665 0.181 Pb
0.923 0.335 0.819 Pb
0.350 0.566 0.735 Pb
0.500 0.000 0.000 Pb
0.650 0.434 0.265 Pb


InHg2Pb6 (PBE, relaxed); energy above the lowest structure with this stoichiometry = 39 kJ/mol of formula units
1.0
3.416 0.000 0.000
-1.708 2.958 0.000
0.000 0.000 27.166
In Hg Pb
1 2 6
Direct
0.333 0.667 0.000 In
0.667 0.333 0.329 Hg
0.667 0.333 0.671 Hg
0.667 0.333 0.891 Pb
0.333 0.667 0.437 Pb
0.333 0.667 0.778 Pb
0.333 0.667 0.222 Pb
0.333 0.667 0.563 Pb
0.667 0.333 0.109 Pb


In3HgPb (PBE, relaxed); energy above the lowest structure with this stoichiometry = 31 kJ/mol of formula units
1.0
-2.914 0.228 1.487
-0.532 -5.970 -0.127
3.942 2.502 7.342
In Hg Pb
3 1 1
Direct
0.500 0.364 0.236 In
0.500 0.871 0.236 In
0.000 0.760 0.520 In
0.000 0.442 0.884 Hg
0.500 0.934 0.869 Pb


In8Hg3Pb2 (PBE, relaxed); energy above the lowest structure with this stoichiometry = 5 kJ/mol of formula units
1.0
-0.877 -5.194 0.708
5.969 -0.631 2.763
-7.184 2.874 8.275
In Hg Pb
8 3 2
Direct
0.035 0.324 0.649 In
0.965 0.676 0.351 In
0.021 0.854 0.707 In
0.979 0.146 0.293 In
0.456 0.839 0.217 In
0.456 0.378 0.217 In
0.544 0.622 0.783 In
0.544 0.161 0.783 In
0.500 0.000 0.000 Hg
0.000 0.273 0.000 Hg
0.000 0.727 0.000 Hg
0.482 0.759 0.519 Pb
0.518 0.241 0.481 Pb


In3Hg8Pb2 (PBE, relaxed); energy above the lowest structure with this stoichiometry = 32 kJ/mol of formula units
1.0
6.033 0.000 0.171
0.000 7.864 0.000
-2.393 -3.932 7.862
In Hg Pb
3 8 2
Direct
0.500 0.000 0.000 In
0.000 0.220 0.000 In
0.000 0.780 0.000 In
0.993 0.639 0.277 Hg
0.007 0.361 0.723 Hg
0.968 0.164 0.329 Hg
0.032 0.836 0.671 Hg
0.488 0.586 0.794 Hg
0.488 0.208 0.794 Hg
0.512 0.792 0.206 Hg
0.512 0.414 0.206 Hg
0.498 0.225 0.449 Pb
0.502 0.775 0.551 Pb


Here is crystalline In3Hg6Pb at its relaxed geometry from Alexandria via LeMat-Bulk. Energies are from PBE.

POSCAR file:
```
In3Hg6Pb
1.0
4.015 0.000 0.000
-2.008 3.477 0.000
0.000 0.000 20.868
In Hg Pb
3 6 1
Direct
0.000 0.000 0.000 In
0.000 0.000 0.704 In
0.000 0.000 0.296 In
0.667 0.333 0.606 Hg
0.333 0.667 0.394 Hg
0.667 0.333 0.198 Hg
0.333 0.667 0.802 Hg
0.667 0.333 0.901 Hg
0.333 0.667 0.099 Hg
0.000 0.000 0.500 Pb
```


Here is crystalline In9Hg2Pb3 at its relaxed geometry from Alexandria via LeMat-Bulk. Energies are from PBE.

POSCAR file:
```
In9Hg2Pb3
1.0
-1.084 -0.864 3.253
-7.180 -7.684 -2.510
7.460 -7.438 2.431
In Hg Pb
9 2 3
Direct
0.500 0.500 0.500 In
0.619 0.021 0.742 In
0.381 0.979 0.258 In
0.381 0.258 0.979 In
0.619 0.742 0.021 In
0.695 0.139 0.471 In
0.305 0.861 0.529 In
0.305 0.529 0.861 In
0.695 0.471 0.139 In
0.799 0.701 0.701 Hg
0.201 0.299 0.299 Hg
0.000 0.000 0.000 Pb
0.000 0.697 0.303 Pb
0.000 0.303 0.697 Pb
```


InHgPb (PBE, relaxed); energy above the lowest structure with this stoichiometry = 8 kJ/mol of formula units
1.0
7.376 -0.136 0.000
5.834 4.516 0.000
-6.605 -2.190 2.450
Pb Hg In
1 1 1
Direct
0.665 0.665 0.000 Pb
0.995 0.995 0.000 Hg
0.340 0.340 0.000 In


| no. | Fermi-level density of states (states/eV/atom) | ΔH_f (0 K) (eV/atom) |
| --- | --- | --- |
| 1 | 0.290 | 0.0357 |
| 2 | 0.314 | 0.1777 |
| 3 | 0.421 | 0.1098 |
| 4 | 0.726 | 0.0617 |
| 5 | 0.481 | 0.1340 |
| 6 | 0.365 | 0.0610 |
| 7 | 0.427 | 0.0551 |
| 8 | 0.365 | 0.0238 |
| 9 | 0.439 | 0.0407 |
| 10 | 0.384 | 0.0264 |